## Na2TaCd (PBE)

Data for an optimized crystal structure of Na2TaCd.

Lattice parameters (Å, degrees): 8.3925 8.3925 6.6015 50.53 50.53 90.00
Fractional positions:
Cd: 0.2500 0.7500 0.5000
Cd: 0.5000 0.5000 0.0000
Na: 0.3750 0.3961 0.7500
Na: 0.6039 0.1250 0.2500
Na: 0.1461 0.6250 0.2500
Na: 0.8750 0.8539 0.7500
Ta: 0.0000 0.0000 0.0000
Ta: 0.7500 0.2500 0.5000

Output
space-group type = I-42d (122)
DFT total energy = -2.682 eV/atom
energy relative to the elements = 4.68 eV per formula unit

***

## Na2TbCd (PBE)

Data for an optimized crystal structure of Na2TbCd.

Lattice parameters (Å, degrees): 3.3674 3.3674 12.4443 82.22 82.22 60.00
Fractional positions:
Tb: 0.0000 0.0000 0.0000
Na: 0.0916 0.0916 0.7251
Na: 0.9084 0.9084 0.2749
Cd: 0.5000 0.5000 0.5000

Output
space-group type = R-3m (166)
DFT total energy = -1.874 eV/atom
energy relative to the elements = 0.69 eV per formula unit

***

## NaTb5Cd6 (PBE)

Data for an optimized crystal structure of NaTb5Cd6.

Lattice parameters (Å, degrees): 5.3002 7.5192 8.3520 90.00 71.41 90.00
Fractional positions:
Cd: 0.1664 0.7532 0.6680
Cd: 0.5000 0.2513 0.0000
Cd: 0.1664 0.2468 0.6680
Cd: 0.5000 0.7487 0.0000
Cd: 0.8336 0.2468 0.3320
Cd: 0.8336 0.7532 0.3320
Tb: 0.6673 0.5000 0.6657
Tb: 0.3327 0.5000 0.3343
Tb: 0.3338 0.0000 0.3315
Tb: 0.0000 0.5000 0.0000
Tb: 0.6662 0.0000 0.6685
Na: 0.0000 0.0000 0.0000

Output
space-group type = P2/m (10)
DFT total energy = -2.767 eV/atom
energy relative to the elements = -3.25 eV per formula unit

***

## NaTbCd5 (PBE)

Data for an optimized crystal structure of NaTbCd5.

Lattice parameters (Å, degrees): 5.4775 5.4775 6.5457 90.00 90.00 110.00
Fractional positions:
Cd: 0.0000 0.0000 0.5000
Cd: 0.5000 0.0000 0.7550
Cd: 0.5000 0.0000 0.2450
Cd: 0.0000 0.5000 0.7550
Cd: 0.0000 0.5000 0.2450
Na: 0.5000 0.5000 0.5000
Tb: 0.0000 0.0000 0.0000

Output
space-group type = Cmmm (65)
DFT total energy = -1.574 eV/atom
energy relative to the elements = -0.49 eV per formula unit

***

## NaTbCd2 (PBE)

Data for an optimized crystal structure of NaTbCd2.

Lattice parameters (Å, degrees): 5.2322 5.2322 5.2322 60.00 60.00 60.00
Fractional positions:
Na: 0.5000 0.5000 0.5000
Cd: 0.7500 0.7500 0.7500
Cd: 0.2500 0.2500 0.2500
Tb: 0.0000 0.0000 0.0000

Output
space-group type = Fm-3m (225)
DFT total energy = -2.095 eV/atom
energy relative to the elements = -0.60 eV per formula unit

***

## NaTb2Cd6 (PBE)

Data for an optimized crystal structure of NaTb2Cd6.

Lattice parameters (Å, degrees): 3.3580 8.7244 8.7244 60.03 89.99 89.99
Fractional positions:
Cd: 0.5000 0.6671 0.3329
Cd: 0.4986 0.6673 0.9999
Cd: 0.5000 0.3329 0.6671
Cd: 0.5014 0.3327 0.0001
Cd: 0.5014 0.0001 0.3327
Cd: 0.4986 0.9999 0.6673
Tb: 0.0000 0.6667 0.6667
Tb: 0.0000 0.3333 0.3333
Na: 0.0000 0.0000 0.0000

Output
space-group type = P6/mmm (191)
DFT total energy = -2.033 eV/atom
energy relative to the elements = -2.22 eV per formula unit

***

## NaTbCd17 (PBE)

Data for an optimized crystal structure of NaTbCd17.

Lattice parameters (Å, degrees): 7.7204 7.7204 7.7204 81.85 81.85 81.85
Fractional positions:
Cd: 0.6982 0.3039 0.9996
Cd: 0.9996 0.3039 0.6982
Cd: 0.9996 0.6982 0.3039
Cd: 0.3039 0.6982 0.9996
Cd: 0.7915 0.3784 0.3784
Cd: 0.4757 0.0216 0.0216
Cd: 0.0216 0.4757 0.0216
Cd: 0.8952 0.8952 0.8952
Cd: 0.6555 0.1224 0.6555
Cd: 0.6982 0.9996 0.3039
Cd: 0.0901 0.0901 0.0901
Cd: 0.3784 0.7915 0.3784
Cd: 0.1224 0.6555 0.6555
Cd: 0.0216 0.0216 0.4757
Cd: 0.3039 0.9996 0.6982
Cd: 0.6555 0.6555 0.1224
Cd: 0.3784 0.3784 0.7915
Tb: 0.6725 0.6725 0.6725
Na: 0.3384 0.3384 0.3384

Output
space-group type = R3m (160)
DFT total energy = -1.202 eV/atom
energy relative to the elements = -1.34 eV per formula unit

***

## NaTbCd2 (PBE)

Data for an optimized crystal structure of NaTbCd2.

Lattice parameters (Å, degrees): 3.4564 5.5014 5.5014 90.00 90.00 90.00
Fractional positions:
Tb: 0.5000 0.0000 0.0000
Cd: 0.0000 0.0000 0.5000
Cd: 0.0000 0.5000 0.0000
Na: 0.5000 0.5000 0.5000

Output
space-group type = P4/mmm (123)
DFT total energy = -2.126 eV/atom
energy relative to the elements = -0.72 eV per formula unit

***

## NaTbYCd (PBE)

Data for an optimized crystal structure of NaTbYCd.

Lattice parameters (Å, degrees): 5.4115 5.4115 5.4115 60.00 60.00 60.00
Fractional positions:
Na: 0.5000 0.5000 0.5000
Tb: 0.2500 0.2500 0.2500
Cd: 0.0000 0.0000 0.0000
Y: 0.7500 0.7500 0.7500

Output
space-group type = F-43m (216)
DFT total energy = -3.305 eV/atom
energy relative to the elements = 0.11 eV per formula unit

***

## Na2Cd2Tc (PBE)

Data for an optimized crystal structure of Na2Cd2Tc.

Lattice parameters (Å, degrees): 3.8218 3.8218 8.1609 76.46 76.46 90.00
Fractional positions:
Cd: 0.4104 0.4104 0.1792
Cd: 0.5896 0.5896 0.8208
Tc: 0.0000 0.0000 0.0000
Na: 0.2500 0.7500 0.5000
Na: 0.7500 0.2500 0.5000

Output
space-group type = I4/mmm (139)
DFT total energy = -2.253 eV/atom
energy relative to the elements = 3.57 eV per formula unit

***

## Na2Cd2Tc (PBE)

Data for an optimized crystal structure of Na2Cd2Tc.

Lattice parameters (Å, degrees): 8.5587 8.5587 2.8829 90.00 90.00 90.00
Fractional positions:
Cd: 0.3286 0.8286 0.0000
Cd: 0.1714 0.3286 0.0000
Cd: 0.6714 0.1714 0.0000
Cd: 0.8286 0.6714 0.0000
Tc: 0.0000 0.0000 0.0000
Tc: 0.5000 0.5000 0.0000
Na: 0.1311 0.6311 0.5000
Na: 0.3689 0.1311 0.5000
Na: 0.8689 0.3689 0.5000
Na: 0.6311 0.8689 0.5000

Output
space-group type = P4/mbm (127)
DFT total energy = -2.270 eV/atom
energy relative to the elements = 3.49 eV per formula unit

***

## NaCd3Tc (PBE)

Data for an optimized crystal structure of NaCd3Tc.

Lattice parameters (Å, degrees): 5.2991 5.2991 5.2991 90.00 90.00 90.00
Fractional positions:
Na: 0.5000 0.5000 0.5000
Cd: 0.0000 0.0000 0.5000
Cd: 0.5000 0.0000 0.0000
Cd: 0.0000 0.5000 0.0000
Tc: 0.0000 0.0000 0.0000

Output
space-group type = Pm-3m (221)
DFT total energy = -2.341 eV/atom
energy relative to the elements = 2.72 eV per formula unit

***

Which value of DFT total energy does entry 1 give?
-2.682 eV/atom